[1]
BRuO2 | GGA-PBE | optimized geometry

Output
Space-group type   R-3m
Raw formation energy   -884 meV/atom

a = 6.046 Å, b = 6.046 Å, c = 6.046 Å
α = 24.20°, β = 24.20°, γ = 24.20°
Sites, in units of the cell vectors:
Ru 0.000 0.000 0.000
O 0.117 0.117 0.117
O 0.883 0.883 0.883
B 0.500 0.500 0.500


[2]
V2WCl | GGA-PBE | optimized geometry

Output
Relative energy among the computed polymorphs   0.0 meV/atom
Space-group type   I-42d
Raw formation energy   767 meV/atom

a = 6.650 Å, b = 6.650 Å, c = 5.427 Å
α = 52.22°, β = 52.22°, γ = 90.00°
Sites, in units of the cell vectors:
V 0.875 0.826 0.750
Cl 0.250 0.750 0.500
V 0.174 0.625 0.250
W 0.000 0.000 0.000
W 0.750 0.250 0.500
V 0.375 0.424 0.750
V 0.576 0.125 0.250
Cl 0.500 0.500 0.000


[3]
Ba4Tl3Ge | GGA-PBE | optimized geometry

Output
Space-group type   Pmm2
Energy of formation from the pure elements   -403 meV per atom

a = 4.919 Å, b = 5.016 Å, c = 13.128 Å
α = 90.00°, β = 90.00°, γ = 90.00°
Sites, in units of the cell vectors:
Ge 0.500 0.500 0.071
Ba 0.000 0.500 0.875
Tl 0.500 0.000 0.933
Tl 0.000 0.500 0.575
Ba 0.000 0.000 0.135
Tl 0.000 0.000 0.423
Ba 0.500 0.500 0.345
Ba 0.500 0.000 0.643


no.,calculated density (g cm⁻³)
1,7.32
2,8.90
3,6.33